# TlAsBrO2 (PBE-GGA, relaxed)
data_TlAsBrO2
_cell_length_a 7.390
_cell_length_b 4.088
_cell_length_c 7.500
_cell_angle_alpha 90.00
_cell_angle_beta 105.05
_cell_angle_gamma 90.00
_symmetry_space_group_name_H-M 'P 1'
_symmetry_Int_Tables_number 1
_symmetry_space_group_name_Hall 'P 1'
loop_
_atom_site_label
_atom_site_type_symbol
_atom_site_fract_x
_atom_site_fract_y
_atom_site_fract_z
_atom_site_occupancy
Tl1 Tl 0.212 0.250 0.459 1
Tl2 Tl 0.788 0.750 0.541 1
As1 As 0.117 0.250 0.915 1
As2 As 0.883 0.750 0.085 1
Br1 Br 0.461 0.750 0.725 1
Br2 Br 0.539 0.250 0.275 1
O1 O 0.016 0.750 0.323 1
O2 O 0.059 0.750 0.948 1
O3 O 0.941 0.250 0.052 1
O4 O 0.984 0.250 0.677 1
# * M_tot: 0.000 μB/atom
# * total energy: -4.55 eV per atom